Entry from Alexandria: a relaxed structure of Sm2Zn5Pd4 (PBE-GGA).

SG: No. 69
DFT total energy, eV/cell: -43.2

```
data_Sm2Zn5Pd4
_chemical_formula_sum 'Sm2 Zn5 Pd4'
_symmetry_space_group_name_H-M 'P 1'
_symmetry_Int_Tables_number 1
_cell_length_a 5.3369
_cell_length_b 5.3336
_cell_length_c 8.7621
_cell_angle_alpha 81.24
_cell_angle_beta 72.27
_cell_angle_gamma 59.98
loop_
_symmetry_equiv_pos_as_xyz
'x,y,z'
loop_
_atom_site_label
_atom_site_type_symbol
_atom_site_fract_x
_atom_site_fract_y
_atom_site_fract_z
Sm1 Sm 0.8574 0.0000 0.2851
Sm2 Sm 0.1426 0.0000 0.7149
Zn1 Zn 0.0000 0.5000 0.0000
Zn2 Zn 0.5000 0.5000 0.0000
Zn3 Zn 0.5000 0.0000 0.0000
Zn4 Zn 0.7500 0.5000 0.5000
Zn5 Zn 0.2500 0.5000 0.5000
Pd1 Pd 0.7885 0.6788 0.7443
Pd2 Pd 0.2115 0.3212 0.2557
Pd3 Pd 0.4672 0.3212 0.7443
Pd4 Pd 0.5328 0.6788 0.2557
```

---

Entry from Alexandria: a relaxed structure of RbTe2O (PBE-GGA).

SG: No. 141
E_form (uncorrected), eV per atom: -0.580

```
data_RbTe2O
_chemical_formula_sum 'Rb2 Te4 O2'
_symmetry_space_group_name_H-M 'P 1'
_symmetry_Int_Tables_number 1
_cell_length_a 6.3782
_cell_length_b 6.3782
_cell_length_c 7.9609
_cell_angle_alpha 66.38
_cell_angle_beta 66.38
_cell_angle_gamma 90.00
loop_
_symmetry_equiv_pos_as_xyz
'x,y,z'
loop_
_atom_site_label
_atom_site_type_symbol
_atom_site_fract_x
_atom_site_fract_y
_atom_site_fract_z
O1 O 0.5000 0.5000 0.0000
O2 O 0.2500 0.7500 0.5000
Te1 Te 0.8750 0.6250 0.7500
Te2 Te 0.3750 0.1250 0.2500
Te3 Te 0.3750 0.6250 0.7500
Te4 Te 0.3750 0.6250 0.2500
Rb1 Rb 0.7500 0.2500 0.5000
Rb2 Rb 0.0000 0.0000 0.0000
```

---

Entry from Alexandria: a relaxed structure of Sr3LiPd (PBE-GGA).

SG: No. 2
Energy above the lowest structure with this stoichiometry, eV per atom: 0.010

```
data_Sr3LiPd
_chemical_formula_sum 'Sr6 Li2 Pd2'
_symmetry_space_group_name_H-M 'P 1'
_symmetry_Int_Tables_number 1
_cell_length_a 7.8292
_cell_length_b 6.9502
_cell_length_c 7.2145
_cell_angle_alpha 78.94
_cell_angle_beta 95.69
_cell_angle_gamma 82.76
loop_
_symmetry_equiv_pos_as_xyz
'x,y,z'
loop_
_atom_site_label
_atom_site_type_symbol
_atom_site_fract_x
_atom_site_fract_y
_atom_site_fract_z
Sr1 Sr 0.6519 0.9624 0.4354
Sr2 Sr 0.7975 0.7040 0.9782
Sr3 Sr 0.5180 0.2745 0.8554
Sr4 Sr 0.3241 0.5562 0.2704
Sr5 Sr 0.1902 0.8683 0.6902
Sr6 Sr 0.0446 0.1267 0.1474
Pd1 Pd 0.8603 0.1208 0.7508
Pd2 Pd 0.9818 0.7100 0.3748
Li1 Li 0.7770 0.4287 0.4511
Li2 Li 0.0650 0.4022 0.6744
```

---

Entry from Alexandria: a relaxed structure of InNiTe2Br (PBE-GGA).

SG: No. 123
E_form (uncorrected), eV per atom: 0.603

```
data_InNiTe2Br
_chemical_formula_sum 'In1 Ni1 Te2 Br1'
_symmetry_space_group_name_H-M 'P 1'
_symmetry_Int_Tables_number 1
_cell_length_a 5.9563
_cell_length_b 4.3788
_cell_length_c 5.9563
_cell_angle_alpha 90.00
_cell_angle_beta 90.00
_cell_angle_gamma 90.00
loop_
_symmetry_equiv_pos_as_xyz
'x,y,z'
loop_
_atom_site_label
_atom_site_type_symbol
_atom_site_fract_x
_atom_site_fract_y
_atom_site_fract_z
Te1 Te 0.0000 0.0000 0.5000
Te2 Te 0.5000 0.0000 0.0000
In1 In 0.5000 0.5000 0.5000
Ni1 Ni 0.0000 0.5000 0.0000
Br1 Br 0.0000 0.0000 0.0000
```

---

Entry from Alexandria: a relaxed structure of Tb3Y8Ho4 (PBE-GGA).

SG: No. 166
Energy above the lowest structure with this stoichiometry, eV per atom: 0.000

```
data_Tb3Y8Ho4
_chemical_formula_sum 'Tb3 Y8 Ho4'
_symmetry_space_group_name_H-M 'P 1'
_symmetry_Int_Tables_number 1
_cell_length_a 6.9481
_cell_length_b 6.9481
_cell_length_c 12.3999
_cell_angle_alpha 73.73
_cell_angle_beta 73.73
_cell_angle_gamma 60.00
loop_
_symmetry_equiv_pos_as_xyz
'x,y,z'
loop_
_atom_site_label
_atom_site_type_symbol
_atom_site_fract_x
_atom_site_fract_y
_atom_site_fract_z
Y1 Y 0.7506 0.7506 0.2496
Y2 Y 0.7508 0.2494 0.7504
Y3 Y 0.2494 0.2494 0.7504
Y4 Y 0.7506 0.2492 0.2496
Y5 Y 0.2492 0.7506 0.2496
Y6 Y 0.2454 0.2454 0.2637
Y7 Y 0.2494 0.7508 0.7504
Y8 Y 0.7546 0.7546 0.7363
Tb1 Tb 0.0000 0.5000 0.5000
Tb2 Tb 0.5000 0.0000 0.5000
Tb3 Tb 0.0000 0.0000 0.5000
Ho1 Ho 0.0000 0.0000 0.0000
Ho2 Ho 0.6640 0.6640 0.0081
Ho3 Ho 0.3360 0.3360 0.9919
Ho4 Ho 0.5000 0.5000 0.5000
```

---

Entry from Alexandria: a relaxed structure of InPSe (PBE-GGA).

SG: No. 107
E_form (uncorrected), eV per atom: 0.123
Energy above the lowest structure with this stoichiometry, eV per atom: 0.227

```
data_InPSe
_chemical_formula_sum 'In1 P1 Se1'
_symmetry_space_group_name_H-M 'P 1'
_symmetry_Int_Tables_number 1
_cell_length_a 6.1224
_cell_length_b 6.1224
_cell_length_c 6.1224
_cell_angle_alpha 142.97
_cell_angle_beta 142.97
_cell_angle_gamma 53.37
loop_
_symmetry_equiv_pos_as_xyz
'x,y,z'
loop_
_atom_site_label
_atom_site_type_symbol
_atom_site_fract_x
_atom_site_fract_y
_atom_site_fract_z
Se1 Se 0.6438 0.6438 0.0000
In1 In 0.9153 0.9153 0.0000
P1 P 0.4409 0.4409 0.0000
```

---

Entry from Alexandria: a relaxed structure of RbYN2F (PBE-GGA).

SG: No. 123
E_form (uncorrected), eV per atom: 0.740
Energy above the lowest structure with this stoichiometry, eV per atom: 1.420

```
data_RbYN2F
_chemical_formula_sum 'Rb1 Y1 N2 F1'
_symmetry_space_group_name_H-M 'P 1'
_symmetry_Int_Tables_number 1
_cell_length_a 4.3707
_cell_length_b 4.3707
_cell_length_c 4.5237
_cell_angle_alpha 90.00
_cell_angle_beta 90.00
_cell_angle_gamma 90.00
loop_
_symmetry_equiv_pos_as_xyz
'x,y,z'
loop_
_atom_site_label
_atom_site_type_symbol
_atom_site_fract_x
_atom_site_fract_y
_atom_site_fract_z
Rb1 Rb 0.0000 0.0000 0.0000
N1 N 0.0000 0.5000 0.0000
N2 N 0.5000 0.0000 0.0000
F1 F 0.0000 0.0000 0.5000
Y1 Y 0.5000 0.5000 0.5000
```

---

Entry from Alexandria: a relaxed structure of Th2ZnGa2Ni5 (PBE-GGA).

SG: No. 127
DFT total energy, eV/cell: -107.1

```
data_Th2ZnGa2Ni5
_chemical_formula_sum 'Th4 Zn2 Ga4 Ni10'
_symmetry_space_group_name_H-M 'P 1'
_symmetry_Int_Tables_number 1
_cell_length_a 3.3029
_cell_length_b 9.9689
_cell_length_c 9.9689
_cell_angle_alpha 90.00
_cell_angle_beta 90.00
_cell_angle_gamma 90.00
loop_
_symmetry_equiv_pos_as_xyz
'x,y,z'
loop_
_atom_site_label
_atom_site_type_symbol
_atom_site_fract_x
_atom_site_fract_y
_atom_site_fract_z
Ga1 Ga 0.0000 0.3787 0.1213
Ga2 Ga 0.0000 0.1213 0.6213
Ga3 Ga 0.0000 0.6213 0.8787
Ga4 Ga 0.0000 0.8787 0.3787
Ni1 Ni 0.5000 0.3001 0.5479
Ni2 Ni 0.5000 0.0479 0.8001
Ni3 Ni 0.5000 0.8001 0.9521
Ni4 Ni 0.5000 0.6999 0.4521
Ni5 Ni 0.5000 0.9521 0.1999
Ni6 Ni 0.5000 0.5479 0.6999
Ni7 Ni 0.5000 0.1999 0.0479
Ni8 Ni 0.5000 0.4521 0.3001
Ni9 Ni 0.5000 0.0000 0.5000
Ni10 Ni 0.5000 0.5000 0.0000
Zn1 Zn 0.0000 0.0000 0.0000
Zn2 Zn 0.0000 0.5000 0.5000
Th1 Th 0.0000 0.6783 0.1783
Th2 Th 0.0000 0.8217 0.6783
Th3 Th 0.0000 0.1783 0.3217
Th4 Th 0.0000 0.3217 0.8217
```

---

Entry from Alexandria: a relaxed structure of TbPuBi (PBE-GGA).

SG: No. 156
DFT total energy, eV/cell: -23.2

```
data_TbPuBi
_chemical_formula_sum 'Tb1 Pu1 Bi1'
_symmetry_space_group_name_H-M 'P 1'
_symmetry_Int_Tables_number 1
_cell_length_a 3.6717
_cell_length_b 5.3292
_cell_length_c 5.3292
_cell_angle_alpha 120.00
_cell_angle_beta 90.00
_cell_angle_gamma 90.00
loop_
_symmetry_equiv_pos_as_xyz
'x,y,z'
loop_
_atom_site_label
_atom_site_type_symbol
_atom_site_fract_x
_atom_site_fract_y
_atom_site_fract_z
Pu1 Pu 0.7054 0.3333 0.6667
Bi1 Bi 0.0276 0.0000 0.0000
Tb1 Tb 0.2670 0.6667 0.3333
```

---

Entry from Alexandria: a relaxed structure of CoIr3N (PBE-GGA).

SG: No. 221
E_form (uncorrected), eV per atom: 0.723

```
data_CoIr3N
_chemical_formula_sum 'Co1 Ir3 N1'
_symmetry_space_group_name_H-M 'P 1'
_symmetry_Int_Tables_number 1
_cell_length_a 4.0477
_cell_length_b 4.0477
_cell_length_c 4.0477
_cell_angle_alpha 90.00
_cell_angle_beta 90.00
_cell_angle_gamma 90.00
loop_
_symmetry_equiv_pos_as_xyz
'x,y,z'
loop_
_atom_site_label
_atom_site_type_symbol
_atom_site_fract_x
_atom_site_fract_y
_atom_site_fract_z
N1 N 0.0000 0.0000 0.0000
Ir1 Ir 0.0000 0.0000 0.5000
Ir2 Ir 0.5000 0.0000 0.0000
Ir3 Ir 0.0000 0.5000 0.0000
Co1 Co 0.5000 0.5000 0.5000
```

---

Entry from Alexandria: a relaxed structure of LiTa2As (PBE-GGA).

SG: No. 123
DFT total energy, eV/cell: -29.9

```
data_LiTa2As
_chemical_formula_sum 'Li1 Ta2 As1'
_symmetry_space_group_name_H-M 'P 1'
_symmetry_Int_Tables_number 1
_cell_length_a 3.3487
_cell_length_b 3.3471
_cell_length_c 5.7425
_cell_angle_alpha 90.00
_cell_angle_beta 90.00
_cell_angle_gamma 90.00
loop_
_symmetry_equiv_pos_as_xyz
'x,y,z'
loop_
_atom_site_label
_atom_site_type_symbol
_atom_site_fract_x
_atom_site_fract_y
_atom_site_fract_z
As1 As 0.5000 0.5000 0.2500
Ta1 Ta 0.0000 0.0000 0.4910
Ta2 Ta 0.0000 0.0000 0.0090
Li1 Li 0.5000 0.5000 0.7500
```

---

Entry from Alexandria: a relaxed structure of Ba2AlInAg6 (PBE-GGA).

SG: No. 2
DFT total energy, eV/cell: -29.3

```
data_Ba2AlInAg6
_chemical_formula_sum 'Ba2 Al1 In1 Ag6'
_symmetry_space_group_name_H-M 'P 1'
_symmetry_Int_Tables_number 1
_cell_length_a 7.1932
_cell_length_b 7.4921
_cell_length_c 7.1884
_cell_angle_alpha 73.49
_cell_angle_beta 51.00
_cell_angle_gamma 94.15
loop_
_symmetry_equiv_pos_as_xyz
'x,y,z'
loop_
_atom_site_label
_atom_site_type_symbol
_atom_site_fract_x
_atom_site_fract_y
_atom_site_fract_z
Ag1 Ag 0.7163 0.2048 0.0129
Ag2 Ag 0.2837 0.7952 0.9871
Ag3 Ag 0.7814 0.7939 0.4882
Ag4 Ag 0.2461 0.1147 0.1331
Ag5 Ag 0.2186 0.2061 0.5118
Ag6 Ag 0.7539 0.8853 0.8669
Ba1 Ba 0.7549 0.3117 0.4437
Ba2 Ba 0.2451 0.6883 0.5563
In1 In 0.5000 0.5000 0.0000
Al1 Al 0.0000 0.0000 0.0000
```